An optimized crystal structure of LiZrNO. Source: OQMD via LeMat-Bulk, functional GGA-PBE.

Unit cell a=3.744 b=5.937 c=4.395 alpha=90.00 beta=90.00 gamma=90.00
Fractional coordinates of all 8 atoms:
Li: 0.000 0.167 0.000
Li: 0.000 0.833 0.500
Zr: 0.500 0.314 0.497
Zr: 0.500 0.686 0.997
N: 0.500 0.338 0.996
N: 0.500 0.662 0.496
O: 0.000 0.165 0.494
O: 0.000 0.835 0.994

Results
**Mass density**: 4.36 g/cm³
**Energy relative to the lowest polymorph listed for this composition**: 6.6 kJ/mol of formula units
**Total magnetic moment**: 0.000 μB per atom

=====

An optimized crystal structure of LiZrNO. Source: OQMD via LeMat-Bulk, functional GGA-PBE.

Unit cell a=5.304 b=6.460 c=5.852 alpha=90.00 beta=90.00 gamma=90.00
Fractional coordinates of all 16 atoms:
Li: 0.234 0.132 0.000
Li: 0.266 0.132 0.500
Li: 0.734 0.868 0.000
Li: 0.766 0.868 0.500
Zr: 0.250 0.672 0.248
Zr: 0.250 0.672 0.748
Zr: 0.750 0.328 0.248
Zr: 0.750 0.328 0.748
N: 0.101 0.850 0.998
N: 0.399 0.850 0.498
N: 0.601 0.150 0.998
N: 0.899 0.150 0.498
O: 0.042 0.402 0.998
O: 0.458 0.402 0.498
O: 0.542 0.598 0.998
O: 0.958 0.598 0.498

Results
**Mass density**: 4.25 g/cm³
**Energy relative to the lowest polymorph listed for this composition**: 111.4 kJ/mol of formula units
**Total magnetic moment**: 0.000 μB per atom

=====

An optimized crystal structure of LiOs3N5. Source: OQMD via LeMat-Bulk, functional GGA-PBE.

Unit cell a=5.381 b=5.381 c=4.003 alpha=90.00 beta=90.00 gamma=120.00
Fractional coordinates of all 9 atoms:
Li: 0.000 0.000 0.000
Os: 0.000 0.500 0.500
Os: 0.500 0.000 0.500
Os: 0.500 0.500 0.500
N: 0.000 0.000 0.500
N: 0.333 0.667 0.167
N: 0.333 0.667 0.833
N: 0.667 0.333 0.167
N: 0.667 0.333 0.833

Results
**Mass density**: 10.71 g/cm³
**Total magnetic moment**: 0.001 μB per atom
**E**: -7.74 eV/atom

=====

An optimized crystal structure of Li5OsN5. Source: OQMD via LeMat-Bulk, functional GGA-PBE.

Unit cell a=5.299 b=5.299 c=5.779 alpha=106.54 beta=106.54 gamma=43.70
Fractional coordinates of all 11 atoms:
Li: 0.000 0.000 0.000
Li: 0.289 0.289 0.155
Li: 0.312 0.312 0.642
Li: 0.688 0.688 0.358
Li: 0.711 0.711 0.845
Os: 0.000 0.000 0.500
N: 0.145 0.145 0.331
N: 0.149 0.149 0.812
N: 0.500 0.500 0.500
N: 0.851 0.851 0.188
N: 0.855 0.855 0.669

Results
**Mass density**: 4.59 g/cm³
**Total magnetic moment**: 0.016 μB per atom
**E**: -5.54 eV/atom

=====

An optimized crystal structure of Li4PPd2N. Source: OQMD via LeMat-Bulk, functional GGA-PBE.

Unit cell a=3.665 b=3.665 c=6.869 alpha=90.00 beta=90.00 gamma=90.00
Fractional coordinates of all 8 atoms:
Li: 0.000 0.000 0.000
Li: 0.000 0.500 0.189
Li: 0.500 0.000 0.811
Li: 0.500 0.500 0.500
P: 0.000 0.000 0.500
Pd: 0.000 0.500 0.735
Pd: 0.500 0.000 0.265
N: 0.500 0.500 0.000

Results
**Mass density**: 5.14 g/cm³
**E**: -4.19 eV/atom

=====

An optimized crystal structure of LiPd3N. Source: OQMD via LeMat-Bulk, functional GGA-PBE.

Unit cell a=4.120 b=4.120 c=4.120 alpha=90.00 beta=90.00 gamma=90.00
Fractional coordinates of all 5 atoms:
Li: 0.000 0.000 0.000
Pd: 0.000 0.500 0.500
Pd: 0.500 0.000 0.500
Pd: 0.500 0.500 0.000
N: 0.500 0.500 0.500

Results
**Mass density**: 8.08 g/cm³
**E**: -5.19 eV/atom

=====

An optimized crystal structure of Li4PdPtN2. Source: OQMD via LeMat-Bulk, functional GGA-PBE.

Unit cell a=3.922 b=3.922 c=7.862 alpha=90.00 beta=90.00 gamma=90.00
Fractional coordinates of all 8 atoms:
Li: 0.000 0.000 0.000
Li: 0.000 0.500 0.238
Li: 0.500 0.000 0.762
Li: 0.500 0.500 0.500
Pd: 0.500 0.500 0.000
Pt: 0.000 0.000 0.500
N: 0.000 0.500 0.488
N: 0.500 0.000 0.512

Results
**Mass density**: 4.91 g/cm³
**Total magnetic moment**: 0.002 μB per atom
**E**: -4.30 eV/atom

=====

An optimized crystal structure of Sr2LiPdN2. Source: OQMD via LeMat-Bulk, functional GGA-PBE.

Unit cell a=3.861 b=3.989 c=7.226 alpha=90.00 beta=90.00 gamma=90.00
Fractional coordinates of all 6 atoms:
Sr: 0.000 0.000 0.246
Sr: 0.000 0.000 0.754
Li: 0.500 0.500 0.000
Pd: 0.500 0.500 0.500
N: 0.000 0.500 0.500
N: 0.500 0.000 0.000

Results
**Mass density**: 4.72 g/cm³
**E**: -5.02 eV/atom